# 1
This record from Alexandria via LeMat-Bulk describes a relaxed USn2Pt2 crystal. The functional is PBE. Values from VASP.

The structure in Quantum ESPRESSO input format:
```
&SYSTEM
  ibrav = 0, nat = 10, ntyp = 3
/
ATOMIC_SPECIES
U 238.03 U.upf
Sn 118.71 Sn.upf
Pt 195.08 Pt.upf
CELL_PARAMETERS angstrom
4.8557 0.0000 0.0000
0.0000 4.6164 0.0000
-0.1468 0.0000 10.1913
ATOMIC_POSITIONS crystal
U 0.2410 0.2500 0.1637
U 0.7590 0.7500 0.8363
Sn 0.2494 0.2500 0.4999
Sn 0.2572 0.2500 0.8125
Sn 0.7428 0.7500 0.1875
Sn 0.7506 0.7500 0.5001
Pt 0.2478 0.7500 0.3402
Pt 0.2612 0.7500 0.9653
Pt 0.7388 0.2500 0.0347
Pt 0.7522 0.2500 0.6598
```

Computed properties:
SG: P2_1/m (11)
ΔE_f: -0.506 eV per atom
Total DFT energy (no corrections): -6.781 eV/atom



# 2
This record from Alexandria via LeMat-Bulk describes a relaxed Ba2Mg2Sb3 crystal. The functional is PBE. Values from VASP.

The structure in Quantum ESPRESSO input format:
```
&SYSTEM
  ibrav = 0, nat = 14, ntyp = 3
/
ATOMIC_SPECIES
Ba 137.33 Ba.upf
Mg 24.30 Mg.upf
Sb 121.76 Sb.upf
CELL_PARAMETERS angstrom
9.1740 -2.4347 0.0000
9.1740 2.4347 0.0000
-8.0445 0.0000 10.9930
ATOMIC_POSITIONS crystal
Ba 0.1071 0.1071 0.4532
Ba 0.2331 0.2331 0.8354
Ba 0.7669 0.7669 0.1646
Ba 0.8929 0.8929 0.5468
Mg 0.0861 0.0861 0.1530
Mg 0.4641 0.4641 0.1851
Mg 0.5359 0.5359 0.8149
Mg 0.9139 0.9139 0.8470
Sb 0.1109 0.1109 0.9595
Sb 0.3456 0.3456 0.6985
Sb 0.4245 0.4245 0.3723
Sb 0.5755 0.5755 0.6277
Sb 0.6544 0.6544 0.3015
Sb 0.8891 0.8891 0.0405
```

Computed properties:
SG: C2/m (12)
Total DFT energy (no corrections): -3.604 eV/atom